A plane-wave DFT calculation with PBE-GGA was carried out for an optimized crystal structure of TbThP2Rh5.

Computed properties:
E_form: -0.79 eV per atom
VASP energy: -66.8 eV per formula unit
volume: 19.6 Å³/atom

Cell lengths 4.079, 4.079, 10.625 Å; angles 90.00, 90.00, 90.00 degrees
Atoms (fractional coordinates):
Tb 0.000 0.000 0.000
Th 0.000 0.000 0.500
P 0.500 0.500 0.285
P 0.500 0.500 0.715
Rh 0.000 0.500 0.198
Rh 0.000 0.500 0.802
Rh 0.500 0.000 0.198
Rh 0.500 0.000 0.802
Rh 0.500 0.500 0.500

***

A plane-wave DFT calculation with PBE-GGA was carried out for an optimized crystal structure of Tb2TiP3Rh4.

Computed properties:
E_form: -1.10 eV per atom
VASP energy: -73.8 eV per formula unit
volume: 16.6 Å³/atom

Cell lengths 3.965, 3.965, 10.538 Å; angles 90.00, 90.00, 90.00 degrees
Atoms (fractional coordinates):
Tb 0.000 0.500 0.231
Tb 0.500 0.000 0.769
Ti 0.000 0.000 0.500
P 0.000 0.500 0.864
P 0.500 0.000 0.136
P 0.500 0.500 0.500
Rh 0.000 0.000 0.000
Rh 0.000 0.500 0.642
Rh 0.500 0.000 0.358
Rh 0.500 0.500 0.000

***

A plane-wave DFT calculation with PBE-GGA was carried out for an optimized crystal structure of Tb2TmP3Rh12.

Computed properties:
E_form: -0.41 eV per atom
VASP energy: -125.6 eV per formula unit
volume: 16.4 Å³/atom

Cell lengths 6.703, 6.703, 6.703 Å; angles 83.68, 83.68, 83.68 degrees
Atoms (fractional coordinates):
Tb 0.128 0.128 0.128
Tb 0.872 0.872 0.872
Tm 0.500 0.500 0.500
P 0.000 0.500 0.500
P 0.500 0.000 0.500
P 0.500 0.500 0.000
Rh 0.131 0.131 0.592
Rh 0.131 0.592 0.131
Rh 0.164 0.679 0.679
Rh 0.321 0.321 0.836
Rh 0.321 0.836 0.321
Rh 0.408 0.869 0.869
Rh 0.592 0.131 0.131
Rh 0.679 0.164 0.679
Rh 0.679 0.679 0.164
Rh 0.836 0.321 0.321
Rh 0.869 0.408 0.869
Rh 0.869 0.869 0.408

***

Copy entry 1 word for word.
A plane-wave DFT calculation with PBE-GGA was carried out for an optimized crystal structure of TbThP2Rh5.

Computed properties:
E_form: -0.79 eV per atom
VASP energy: -66.8 eV per formula unit
volume: 19.6 Å³/atom

Cell lengths 4.079, 4.079, 10.625 Å; angles 90.00, 90.00, 90.00 degrees
Atoms (fractional coordinates):
Tb 0.000 0.000 0.000
Th 0.000 0.000 0.500
P 0.500 0.500 0.285
P 0.500 0.500 0.715
Rh 0.000 0.500 0.198
Rh 0.000 0.500 0.802
Rh 0.500 0.000 0.198
Rh 0.500 0.000 0.802
Rh 0.500 0.500 0.500

***

Question: Among the records above, which one has the lowest VASP energy?
Answer: Tb2TmP3Rh12

***

Question: What is the formula in the first record?
Answer: TbThP2Rh5

***

Question: Look up the volume of the third one.
Answer: 16.4 Å³/atom